{"formula": "Lu4AsPN2", "functional": "PBE-GGA", "state": "relaxed", "e_tot_ev_per_atom": -7.0717, "cell": [[3.584, 0.000, 0.000], [-1.792, 3.104, 0.000], [0.000, 0.000, 12.480]], "species": ["Lu", "Lu", "Lu", "Lu", "As", "P", "N", "N"], "fractional_positions": [[0.000, 0.000, 0.139], [0.000, 0.000, 0.861], [0.333, 0.667, 0.347], [0.333, 0.667, 0.653], [0.000, 0.000, 0.500], [0.333, 0.667, 0.000], [0.667, 0.333, 0.247], [0.667, 0.333, 0.753]]}